Entry 1:
{"formula": "CrCdAs2", "functional": "PBE-GGA", "state": "optimized geometry", "lattice_angstrom": [[2.9949, 0.0000, 0.0000], [-1.4975, 2.5937, 0.0000], [0.0000, 0.0000, 30.6484]], "species": ["Cr", "Cr", "Cr", "Cd", "Cd", "Cd", "As", "As", "As", "As", "As", "As"], "frac_coords": [[0.0000, 0.0000, 0.0000], [0.3333, 0.6667, 0.6667], [0.6667, 0.3333, 0.3333], [0.0000, 0.0000, 0.8305], [0.3333, 0.6667, 0.4971], [0.6667, 0.3333, 0.1638], [0.0000, 0.0000, 0.3909], [0.0000, 0.0000, 0.6089], [0.3333, 0.6667, 0.0576], [0.3333, 0.6667, 0.2755], [0.6667, 0.3333, 0.7243], [0.6667, 0.3333, 0.9422]], "magmom_total_mub_per_atom": 0.132, "ef_mev_per_atom": 0.9}

Entry 2:
{"formula": "CuH3Pd", "functional": "PBE-GGA", "state": "optimized geometry", "lattice_angstrom": [[3.3616, 0.0000, 0.0000], [0.0000, 3.3616, 0.0000], [0.0000, 0.0000, 3.3616]], "species": ["Cu", "H", "H", "H", "Pd"], "frac_coords": [[0.0000, 0.0000, 0.0000], [0.0000, 0.0000, 0.5000], [0.0000, 0.5000, 0.0000], [0.5000, 0.0000, 0.0000], [0.5000, 0.5000, 0.5000]], "de_polymorph_mev_per_atom": 255, "magmom_total_mub_per_atom": 0.000}

Entry 3:
{"formula": "CeBePt3", "functional": "PBE-GGA", "state": "optimized geometry", "lattice_angstrom": [[4.0306, 0.0000, 0.0000], [0.0000, 4.0306, 0.0000], [0.0000, 0.0000, 10.5486]], "species": ["Ce", "Ce", "Be", "Be", "Pt", "Pt", "Pt", "Pt", "Pt", "Pt"], "frac_coords": [[0.0000, 0.0000, 0.0000], [0.5000, 0.5000, 0.5000], [0.0000, 0.0000, 0.3667], [0.5000, 0.5000, 0.8667], [0.0000, 0.0000, 0.5770], [0.0000, 0.5000, 0.2616], [0.0000, 0.5000, 0.7616], [0.5000, 0.0000, 0.2616], [0.5000, 0.0000, 0.7616], [0.5000, 0.5000, 0.0770]], "de_polymorph_mev_per_atom": 0, "magmom_total_mub_per_atom": 0.092, "ef_mev_per_atom": -936.4}

Entry 4:
{"formula": "YMn3Hg", "functional": "PBE-GGA", "state": "optimized geometry", "lattice_angstrom": [[5.0127, 0.0000, 0.0000], [0.0000, 5.0127, 0.0000], [0.0000, 0.0000, 5.0127]], "species": ["Y", "Mn", "Mn", "Mn", "Hg"], "frac_coords": [[0.0000, 0.0000, 0.0000], [0.0000, 0.0000, 0.5000], [0.0000, 0.5000, 0.0000], [0.5000, 0.0000, 0.0000], [0.5000, 0.5000, 0.5000]], "de_polymorph_mev_per_atom": 653, "magmom_total_mub_per_atom": 2.147, "ef_mev_per_atom": 1544.1}